DFT (GGA-PBE) results for a relaxed structure of In3ClO.

Properties
- Fermi-level density of states (states/eV per cell) = 2.00
- E (eV/cell) = -16.92
- relative energy among the computed polymorphs (eV/atom) = 0.000
- formation energy (no corrections) (kJ per mole of atoms) = -37
- calculated density (kg/m3) = 4980

abc: 5.092 5.092 5.092
angles: 90.00 90.00 90.00
Space group Pm-3m (No. 221)
Unique sites:
In (0.000, 0.000, 0.500) x3
Cl (0.500, 0.500, 0.500) x1
O (0.000, 0.000, 0.000) x1